(1)
Density functional theory data (PBE) for crystalline SiBRh4 at its relaxed geometry.

```
12
Lattice="-0.1294 -2.9499 -3.6422 6.3775 0.5255 1.6301 -3.6219 -2.7467 4.2301" Properties=species:S:1:pos:R:3 pbc="T T T"
Rh 0.5541 -1.4209 1.1716
B 2.6620 -4.4063 3.1063
Rh -1.7155 -2.3345 3.8205
Rh 3.5903 -2.3709 2.9743
Rh 1.6941 -2.2366 -1.2748
Rh 4.3417 -2.8365 -1.6026
B -0.0358 -0.7648 -0.8883
Rh -0.9641 -2.8001 -0.7564
Rh 2.0721 -3.7501 1.0463
Rh 0.9321 -2.9345 3.4927
Si -0.4001 -3.6616 1.4708
Si 3.0263 -1.5094 0.7471
```

Values from the calculation:
The calculation puts the total energy at -87.506 eV/cell. The calculation puts the formation energy from raw total energies at -2.25 eV/f.u. The polymorph energy (0 for the lowest one) is 75 meV per atom.

(2)
Density functional theory data (PBE) for crystalline SiB3Rh at its relaxed geometry.

```
5
Lattice="3.9108 0.0000 0.0000 0.0000 3.9108 0.0000 0.0000 0.0000 3.9108" Properties=species:S:1:pos:R:3 pbc="T T T"
B 0.0000 1.9554 0.0000
B 0.0000 0.0000 1.9554
B 1.9554 0.0000 0.0000
Si 0.0000 0.0000 0.0000
Rh 1.9554 1.9554 1.9554
```

Values from the calculation:
The calculation puts the total energy at -24.794 eV/cell. The calculation puts the formation energy from raw total energies at 8.01 eV/f.u. The polymorph energy (0 for the lowest one) is 278 meV per atom.